A plane-wave DFT calculation with GGA-PBE was carried out for crystalline BRuO2F at its relaxed geometry.

Cell and atoms, written as extended XYZ:
```
5
Lattice="3.817 0.000 0.000 0.000 3.817 0.000 0.000 0.000 4.251" Properties=species:S:1:pos:R:3 pbc="T T T"
F 0.000 0.000 2.125
B 1.909 1.909 2.125
O 0.000 1.909 0.000
Ru 0.000 0.000 0.000
O 1.909 0.000 0.000
```

Summary:
DOS(E_F)   2.92 states/eV/cell
Uncorrected formation energy   2.66 kcal/mol of atoms
Symmetry   P4/mmm, No. 123
Electronic total energy   -5.433 eV/atom